A plane-wave DFT calculation with GGA-PBE was carried out for a relaxed structure of BeGe3S.

abc: 4.894 4.894 4.894
angles: 90.00 90.00 90.00
Fractional positions:
Be 0.000 0.000 0.000
Ge 0.000 0.500 0.500
Ge 0.500 0.000 0.500
Ge 0.500 0.500 0.000
S 0.500 0.500 0.500

Values from the calculation:
- formation energy without anion corrections (kJ/mol of atoms) = 96
- volume (Å³ per cell) = 117.2